4
Lattice="0.000 3.172 3.172 3.172 0.000 3.172 3.172 3.172 0.000" Properties=species:S:1:pos:R:3 comment="PBE ZrZnCrIr, optimized geometry" spacegroup=F-43m e_form_ev_per_atom=-0.332 magmom_total_mub_per_atom=0.7488 dos_ef_per_ev_cell=0.5 pbc="T T T"
Zr 0.000 0.000 0.000
Zn 3.172 3.172 3.172
Cr 4.758 4.758 4.758
Ir 1.586 1.586 1.586

3
Lattice="2.801 0.000 0.000 -1.400 2.425 0.000 0.000 0.000 7.078" Properties=species:S:1:pos:R:3 comment="PBE ZrCrIr, optimized geometry" spacegroup=P3m1 e_form_ev_per_atom=0.182 magmom_total_mub_per_atom=0.1648 relative_energy_mev_per_atom=365 dos_ef_per_ev_cell=4.3 pbc="T T T"
Zr 0.000 0.000 0.000
Cr 1.400 0.808 2.518
Ir 0.000 1.617 4.515

4
Lattice="-1.943 1.943 4.803 1.943 -1.943 4.803 1.943 1.943 -4.803" Properties=species:S:1:pos:R:3 comment="PBE Zr2CrIr, optimized geometry" spacegroup=I-4m2 e_form_ev_per_atom=-0.187 magmom_total_mub_per_atom=0.4777 relative_energy_mev_per_atom=189 dos_ef_per_ev_cell=5.1 pbc="T T T"
Zr 0.000 0.000 0.000
Zr 0.000 1.943 2.401
Cr 1.943 0.000 2.401
Ir 0.000 0.000 4.803

Which formula does entry 2 have?
ZrCrIr